Material: LaScNF2
Method: DFT, PBE-GGA
State: optimized geometry

Output
Theoretical density in kg/m³: 5301
Distance to the lowest polymorph of the same formula in meV per atom: 0.0

Lattice parameters (Å, degrees): 4.112 4.112 4.370 90.00 90.00 90.00
Element x y z (fractional)
Sc (0.000, 0.000, 0.000)
N (0.000, 0.000, 0.500)
F (0.000, 0.500, 0.000)
F (0.500, 0.000, 0.000)
La (0.500, 0.500, 0.500)